# 1
# meta-GGA SCAN ThSi2, single point on PBEsol structure
data_ThSi2
_cell_length_a 4.0855
_cell_length_b 4.0855
_cell_length_c 4.1325
_cell_angle_alpha 90.00
_cell_angle_beta 90.00
_cell_angle_gamma 120.00
_space_group_name_H-M_alt 'P 6/m m m'
_space_group_IT_number 191
_space_group_name_Hall '-P 6 2'
loop_
_atom_site_label
_atom_site_type_symbol
_atom_site_fract_x
_atom_site_fract_y
_atom_site_fract_z
Th1 Th 0.0000 0.0000 0.0000
Si1 Si 0.3333 0.6667 0.5000
# theoretical density: 8.0 g/cm³
# Fermi-level density of states: 1.19 states/eV/cell
# energy relative to the elements, uncorrected: -0.528 eV per atom
# magnetization: 0.000 Bohr magnetons per cell



# 2
# meta-GGA SCAN MnCrTc3, single point on PBEsol structure
data_MnCrTc3
_cell_length_a 4.329
_cell_length_b 4.329
_cell_length_c 4.329
_cell_angle_alpha 90.00
_cell_angle_beta 90.00
_cell_angle_gamma 90.00
_space_group_name_H-M_alt 'P m -3 m'
_space_group_IT_number 221
_space_group_name_Hall '-P 4 2 3'
loop_
_atom_site_label
_atom_site_type_symbol
_atom_site_fract_x
_atom_site_fract_y
_atom_site_fract_z
Mn1 Mn 0.000 0.000 0.000
Cr1 Cr 0.500 0.500 0.500
Tc1 Tc 0.000 0.500 0.500
# theoretical density: 8.2 g/cm³
# Fermi-level density of states: 3.71 states/eV/cell
# DFT formation energy: 1.040 eV per atom
# magnetization: 2.701 Bohr magnetons per cell



# 3
# meta-GGA SCAN CsSn2Pb2, single point on PBEsol structure
data_CsSn2Pb2
_cell_length_a 5.122
_cell_length_b 5.122
_cell_length_c 13.553
_cell_angle_alpha 90.00
_cell_angle_beta 90.00
_cell_angle_gamma 90.00
_space_group_name_H-M_alt 'I 4/m m m'
_space_group_IT_number 139
_space_group_name_Hall '-I 4 2'
loop_
_atom_site_label
_atom_site_type_symbol
_atom_site_fract_x
_atom_site_fract_y
_atom_site_fract_z
Cs1 Cs 0.000 0.000 0.000
Sn1 Sn 0.000 0.500 0.250
Pb1 Pb 0.000 0.000 0.378
# theoretical density: 7.3 g/cm³
# Fermi-level density of states: 3.17 states/eV/cell
# DFT formation energy: -0.230 eV per atom
# magnetization: 0.000 Bohr magnetons per cell



# 4
# meta-GGA SCAN SrSi3Au, single point on PBEsol structure
data_SrSi3Au
_cell_length_a 4.943
_cell_length_b 4.943
_cell_length_c 4.943
_cell_angle_alpha 90.00
_cell_angle_beta 90.00
_cell_angle_gamma 90.00
_space_group_name_H-M_alt 'P m -3 m'
_space_group_IT_number 221
_space_group_name_Hall '-P 4 2 3'
loop_
_atom_site_label
_atom_site_type_symbol
_atom_site_fract_x
_atom_site_fract_y
_atom_site_fract_z
Sr1 Sr 0.000 0.000 0.000
Si1 Si 0.000 0.500 0.500
Au1 Au 0.500 0.500 0.500
# theoretical density: 5.1 g/cm³
# Fermi-level density of states: 3.05 states/eV/cell
# energy relative to the elements, uncorrected: 0.477 eV per atom
# magnetization: 0.000 Bohr magnetons per cell



# 5
# meta-GGA SCAN ScTlAg2, single point on PBEsol structure
data_ScTlAg2
_cell_length_a 4.739
_cell_length_b 4.739
_cell_length_c 6.769
_cell_angle_alpha 90.00
_cell_angle_beta 90.00
_cell_angle_gamma 90.00
_space_group_name_H-M_alt 'I -4 m 2'
_space_group_IT_number 119
_space_group_name_Hall 'I -4 -2'
loop_
_atom_site_label
_atom_site_type_symbol
_atom_site_fract_x
_atom_site_fract_y
_atom_site_fract_z
Sc1 Sc 0.000 0.000 0.000
Tl1 Tl 0.000 0.500 0.750
Ag1 Ag 0.000 0.000 0.500
Ag2 Ag 0.000 0.500 0.250
# theoretical density: 10.2 g/cm³
# Fermi-level density of states: 3.38 states/eV/cell
# DFT formation energy: -0.207 eV per atom
# magnetization: 0.000 Bohr magnetons per cell



# 6
# meta-GGA SCAN BaHg2Pt, single point on PBEsol structure
data_BaHg2Pt
_cell_length_a 4.886
_cell_length_b 4.792
_cell_length_c 4.901
_cell_angle_alpha 90.00
_cell_angle_beta 104.35
_cell_angle_gamma 90.00
_space_group_name_H-M_alt 'P 1 2/m 1'
_space_group_IT_number 10
loop_
_space_group_symop_operation_xyz
'x,y,z'
'-x,-y,-z'
'-x,y,-z'
'x,-y,z'
loop_
_atom_site_label
_atom_site_type_symbol
_atom_site_fract_x
_atom_site_fract_y
_atom_site_fract_z
Ba1 Ba 0.000 0.000 0.000
Hg1 Hg 0.314 0.500 0.687
Pt1 Pt 0.500 0.000 0.500
# theoretical density: 11.0 g/cm³
# Fermi-level density of states: 1.09 states/eV/cell
# DFT formation energy: -0.506 eV per atom
# magnetization: 0.000 Bohr magnetons per cell



# 7
# meta-GGA SCAN Te2IrAu, single point on PBEsol structure
data_Te2IrAu
_cell_length_a 5.984
_cell_length_b 7.434
_cell_length_c 3.582
_cell_angle_alpha 90.00
_cell_angle_beta 90.00
_cell_angle_gamma 90.00
_space_group_name_H-M_alt 'C m m m'
_space_group_IT_number 65
_space_group_name_Hall '-C 2 2'
loop_
_atom_site_label
_atom_site_type_symbol
_atom_site_fract_x
_atom_site_fract_y
_atom_site_fract_z
Te1 Te 0.250 0.250 0.000
Ir1 Ir 0.000 0.000 0.500
Au1 Au 0.000 0.500 0.500
# E above lowest polymorph: 766.4 meV per atom
# theoretical density: 13.4 g/cm³
# Fermi-level density of states: 3.47 states/eV/cell
# energy relative to the elements, uncorrected: 0.512 eV per atom
# magnetization: 0.000 Bohr magnetons per cell



# 8
# meta-GGA SCAN Mn3CuMo, single point on PBEsol structure
data_Mn3CuMo
_cell_length_a 4.333
_cell_length_b 4.333
_cell_length_c 4.333
_cell_angle_alpha 90.00
_cell_angle_beta 90.00
_cell_angle_gamma 90.00
_space_group_name_H-M_alt 'P m -3 m'
_space_group_IT_number 221
_space_group_name_Hall '-P 4 2 3'
loop_
_atom_site_label
_atom_site_type_symbol
_atom_site_fract_x
_atom_site_fract_y
_atom_site_fract_z
Mn1 Mn 0.000 0.000 0.500
Cu1 Cu 0.000 0.000 0.000
Mo1 Mo 0.500 0.500 0.500
# theoretical density: 6.6 g/cm³
# Fermi-level density of states: 4.54 states/eV/cell
# DFT formation energy: 0.879 eV per atom
# magnetization: 9.501 Bohr magnetons per cell



# 9
# meta-GGA SCAN Li3CuPd, single point on PBEsol structure
data_Li3CuPd
_cell_length_a 4.577
_cell_length_b 4.577
_cell_length_c 4.577
_cell_angle_alpha 90.00
_cell_angle_beta 90.00
_cell_angle_gamma 90.00
_space_group_name_H-M_alt 'P m -3 m'
_space_group_IT_number 221
_space_group_name_Hall '-P 4 2 3'
loop_
_atom_site_label
_atom_site_type_symbol
_atom_site_fract_x
_atom_site_fract_y
_atom_site_fract_z
Li1 Li 0.000 0.000 0.500
Cu1 Cu 0.500 0.500 0.500
Pd1 Pd 0.000 0.000 0.000
# theoretical density: 3.3 g/cm³
# Fermi-level density of states: 0.71 states/eV/cell
# DFT formation energy: 0.298 eV per atom
# magnetization: 0.000 Bohr magnetons per cell



# 10
# meta-GGA SCAN CaTcOs2Pd, single point on PBEsol structure
data_CaTcOs2Pd
_cell_length_a 4.566
_cell_length_b 4.566
_cell_length_c 5.040
_cell_angle_alpha 90.00
_cell_angle_beta 90.00
_cell_angle_gamma 90.00
_space_group_name_H-M_alt 'P 4/m m m'
_space_group_IT_number 123
_space_group_name_Hall '-P 4 2'
loop_
_atom_site_label
_atom_site_type_symbol
_atom_site_fract_x
_atom_site_fract_y
_atom_site_fract_z
Ca1 Ca 0.000 0.000 0.000
Tc1 Tc 0.000 0.000 0.500
Os1 Os 0.000 0.500 0.500
Pd1 Pd 0.500 0.500 0.000
# theoretical density: 9.9 g/cm³
# Fermi-level density of states: 3.98 states/eV/cell
# DFT formation energy: 1.546 eV per atom
# magnetization: 1.411 Bohr magnetons per cell



# 11
# meta-GGA SCAN Ba2Pt, single point on PBEsol structure
data_Ba2Pt
_cell_length_a 4.5363
_cell_length_b 4.5363
_cell_length_c 7.2964
_cell_angle_alpha 90.00
_cell_angle_beta 90.00
_cell_angle_gamma 120.00
_space_group_name_H-M_alt 'P -3 m 1'
_space_group_IT_number 164
_space_group_name_Hall '-P 3 2"'
loop_
_atom_site_label
_atom_site_type_symbol
_atom_site_fract_x
_atom_site_fract_y
_atom_site_fract_z
Ba1 Ba 0.3333 0.6667 0.2727
Pt1 Pt 0.0000 0.0000 0.5000
# theoretical density: 6.0 g/cm³
# Fermi-level density of states: 1.25 states/eV/cell
# DFT formation energy: -0.725 eV per atom
# magnetization: 0.000 Bohr magnetons per cell



# 12
# meta-GGA SCAN SrLiPb4, single point on PBEsol structure
data_SrLiPb4
_cell_length_a 9.164
_cell_length_b 9.164
_cell_length_c 9.164
_cell_angle_alpha 90.00
_cell_angle_beta 90.00
_cell_angle_gamma 90.00
_space_group_name_H-M_alt 'F -4 3 m'
_space_group_IT_number 216
_space_group_name_Hall 'F -4 2 3'
loop_
_atom_site_label
_atom_site_type_symbol
_atom_site_fract_x
_atom_site_fract_y
_atom_site_fract_z
Sr1 Sr 0.000 0.000 0.000
Li1 Li 0.250 0.250 0.250
Pb1 Pb 0.125 0.125 0.625
# theoretical density: 8.0 g/cm³
# Fermi-level density of states: 16.14 states/eV/cell
# DFT formation energy: -0.317 eV per atom
# magnetization: 0.000 Bohr magnetons per cell



# 13
# meta-GGA SCAN ZrTlPd3, single point on PBEsol structure
data_ZrTlPd3
_cell_length_a 4.875
_cell_length_b 4.875
_cell_length_c 4.875
_cell_angle_alpha 90.00
_cell_angle_beta 90.00
_cell_angle_gamma 90.00
_space_group_name_H-M_alt 'P m -3 m'
_space_group_IT_number 221
_space_group_name_Hall '-P 4 2 3'
loop_
_atom_site_label
_atom_site_type_symbol
_atom_site_fract_x
_atom_site_fract_y
_atom_site_fract_z
Zr1 Zr 0.000 0.000 0.000
Tl1 Tl 0.500 0.500 0.500
Pd1 Pd 0.000 0.000 0.500
# theoretical density: 8.8 g/cm³
# Fermi-level density of states: 2.74 states/eV/cell
# DFT formation energy: 0.530 eV per atom
# magnetization: 0.000 Bohr magnetons per cell



Number 1: DFT total energy -39.178 eV/atom. Number 2: DFT total energy -27.324 eV/atom. Number 3: DFT total energy -52.473 eV/atom. Number 4: DFT total energy -23.819 eV/atom. Number 5: DFT total energy -37.540 eV/atom. Number 6: DFT total energy -62.025 eV/atom. Number 7: DFT total energy -53.178 eV/atom. Number 8: DFT total energy -20.091 eV/atom. Number 9: DFT total energy -10.730 eV/atom. Number 10: DFT total energy -42.705 eV/atom. Number 11: DFT total energy -50.489 eV/atom. Number 12: DFT total energy -54.948 eV/atom. Number 13: DFT total energy -39.746 eV/atom.